Compound: NpInPd2
Source: Alexandria via LeMat-Bulk
Functional: PBE-GGA
Structure: optimized geometry

Lattice parameters (Å, degrees): 3.045 5.086 5.086 90.00 90.00 90.00
Site moments in Bohr magnetons follow the coordinates.
Atoms (fractional coordinates):
Pd (0.000, 0.000, 0.500)  0.02
In (0.500, 0.000, 0.000)  -0.03
Pd (0.000, 0.500, 0.000)  0.02
Np (0.500, 0.500, 0.500)  4.05

- Volume: 19.69 Å³/atom
- Final energy: -27.1 eV for the cell shown
- Energy of formation from the pure elements: -250 meV/atom
- Symmetry: P4/mmm (123)